VASP calculation (GGA-PBE) on a relaxed MgB6 crystal.

Lattice parameters (Å, degrees): 3.107 3.107 5.445 90.00 90.00 90.00
Space group P4/mmm (No. 123)
One atom of each set of equivalent atoms:
Mg  0.000  0.000  0.000 (multiplicity 1)
B  0.000  0.500  0.347 (multiplicity 4)
B  0.500  0.500  0.176 (multiplicity 2)

Calculated values
The total DFT energy (no corrections) is -40.28 eV for the cell shown. The total magnetization comes out at 0.000 μB per cell. The energy above the most stable polymorph in this dataset comes out at 132 kJ/mol of formula units.